No. 1
Computed, not measured: crystalline ZnNi2BPt at its relaxed geometry at the PBE-GGA level of DFT.

Properties
E_form   -213 meV/atom
Total energy   -5.32 eV/atom
Density   10.49 g cm⁻³

Unit cell a=3.8708 b=3.8708 c=4.1057 alpha=90.00 beta=90.00 gamma=90.00
Space group P4/mmm (No. 123)
Inequivalent atoms, fractional coordinates:
Zn 0.0000 0.0000 0.0000 [1 per cell]
Ni 0.0000 0.5000 0.5000 [2 per cell]
B 0.5000 0.5000 0.5000 [1 per cell]
Pt 0.5000 0.5000 0.0000 [1 per cell]

No. 2
Computed, not measured: crystalline HOsN2F at its relaxed geometry at the PBE-GGA level of DFT.

Properties
Total energy   -5.94 eV/atom
Density   6.60 g cm⁻³

Unit cell a=3.7748 b=3.7748 c=4.2086 alpha=90.00 beta=90.00 gamma=90.00
Space group P4/mmm (No. 123)
Inequivalent atoms, fractional coordinates:
H 0.0000 0.0000 0.0000 [1 per cell]
Os 0.5000 0.5000 0.5000 [1 per cell]
N 0.0000 0.5000 0.5000 [2 per cell]
F 0.5000 0.5000 0.0000 [1 per cell]

No. 3
Computed, not measured: crystalline Cs3CdHg2Cl9 at its relaxed geometry at the PBE-GGA level of DFT.

Properties
Total energy   -2.65 eV/atom
Density   4.39 g cm⁻³
Raw formation energy   -1.27 eV/atom

Unit cell a=7.6025 b=7.6025 c=9.3093 alpha=90.00 beta=90.00 gamma=120.00
Space group P-3m1 (No. 164)
Inequivalent atoms, fractional coordinates:
Cs 0.0000 0.0000 0.0000 [1 per cell]
Cs 0.3333 0.6667 0.6663 [2 per cell]
Cd 0.0000 0.0000 0.5000 [1 per cell]
Hg 0.3333 0.6667 0.1684 [2 per cell]
Cl 0.0000 0.5000 0.0000 [3 per cell]
Cl 0.1652 0.3304 0.3357 [6 per cell]

No. 4
Computed, not measured: crystalline Sr2Tl2Ge at its relaxed geometry at the PBE-GGA level of DFT.

Properties
E_form   -68 meV/atom
Total energy   -2.61 eV/atom
Density   6.21 g cm⁻³

Unit cell a=8.7326 b=8.7326 c=4.6045 alpha=90.00 beta=90.00 gamma=90.00
Space group P4/mbm (No. 127)
Inequivalent atoms, fractional coordinates:
Sr 0.1649 0.3351 0.0000 [4 per cell]
Tl 0.1405 0.6405 0.5000 [4 per cell]
Ge 0.0000 0.0000 0.0000 [2 per cell]

No. 5
Computed, not measured: crystalline VBPd at its relaxed geometry at the PBE-GGA level of DFT.

Properties
E_form   -131 meV/atom
Total energy   -7.13 eV/atom
Density   8.06 g cm⁻³

Unit cell a=8.6039 b=3.1649 c=6.2098 alpha=90.00 beta=124.91 gamma=90.00
Space group C2/m (No. 12)
Inequivalent atoms, fractional coordinates:
V 0.1750 0.0000 0.0692 [4 per cell]
B 0.1151 0.0000 0.6602 [4 per cell]
Pd 0.0864 0.5000 0.3661 [4 per cell]

No. 6
Computed, not measured: crystalline LaLuIr4 at its relaxed geometry at the PBE-GGA level of DFT.

Properties
E_form   -740 meV/atom
Total energy   -8.22 eV/atom
Density   16.16 g cm⁻³

Unit cell a=7.6347 b=7.6347 c=7.6347 alpha=90.00 beta=90.00 gamma=90.00
Space group F-43m (No. 216)
Inequivalent atoms, fractional coordinates:
La 0.0000 0.0000 0.0000 [4 per cell]
Lu 0.2500 0.2500 0.7500 [4 per cell]
Ir 0.1247 0.1247 0.3753 [16 per cell]

No. 7
Computed, not measured: crystalline SrCa2Cu at its relaxed geometry at the PBE-GGA level of DFT.

Properties
E_form   236 meV/atom
Total energy   -2.21 eV/atom
Density   2.85 g cm⁻³

Unit cell a=8.1377 b=8.1377 c=8.1377 alpha=90.00 beta=90.00 gamma=90.00
Space group F-43m (No. 216)
Inequivalent atoms, fractional coordinates:
Sr 0.0000 0.0000 0.0000 [4 per cell]
Ca 0.0000 0.0000 0.5000 [4 per cell]
Ca 0.2500 0.2500 0.7500 [4 per cell]
Cu 0.2500 0.2500 0.2500 [4 per cell]

No. 8
Computed, not measured: crystalline TmOs2 at its relaxed geometry at the PBE-GGA level of DFT.

Properties
E_form   -368 meV/atom
Total energy   -9.34 eV/atom
Density   17.14 g cm⁻³

Unit cell a=5.2890 b=5.2890 c=8.7864 alpha=90.00 beta=90.00 gamma=120.00
Space group P6_3/mmc (No. 194)
Inequivalent atoms, fractional coordinates:
Tm 0.3333 0.6667 0.0650 [4 per cell]
Os 0.0000 0.0000 0.0000 [2 per cell]
Os 0.1721 0.3441 0.7500 [6 per cell]

No. 9
Computed, not measured: crystalline Cs3K8Tl at its relaxed geometry at the PBE-GGA level of DFT.

Properties
E_form   2 meV/atom
Total energy   -1.14 eV/atom
Density   1.67 g cm⁻³

Unit cell a=14.8300 b=14.8300 c=9.5746 alpha=90.00 beta=90.00 gamma=120.00
Space group P6_3mc (No. 186)
Inequivalent atoms, fractional coordinates:
Cs 0.1590 0.3180 0.0000 [6 per cell]
K 0.0000 0.0000 0.2494 [2 per cell]
K 0.0374 0.5187 0.2182 [6 per cell]
K 0.2214 0.4428 0.5016 [6 per cell]
K 0.3333 0.6667 0.8752 [2 per cell]
Tl 0.3333 0.6667 0.2540 [2 per cell]

No. 10
Computed, not measured: crystalline Pm2NdY4 at its relaxed geometry at the PBE-GGA level of DFT.

Properties
E_form   173 meV/atom
Total energy   -5.56 eV/atom
Density   5.57 g cm⁻³

Unit cell a=16.6608 b=6.7762 c=11.6795 alpha=90.00 beta=134.46 gamma=90.00
Space group C2 (No. 5)
Inequivalent atoms, fractional coordinates:
Pm 0.0000 0.0000 0.0000 [2 per cell]
Pm 0.0000 0.0015 0.5000 [2 per cell]
Pm 0.2220 0.1118 0.9724 [4 per cell]
Nd 0.2220 0.1116 0.4717 [4 per cell]
Y 0.9996 0.3250 0.2490 [4 per cell]
Y 0.0006 0.7727 0.7501 [4 per cell]
Y 0.1550 0.4848 0.6553 [4 per cell]
Y 0.1558 0.4849 0.1554 [4 per cell]

No. 11
Computed, not measured: crystalline K2PSe4 at its relaxed geometry at the PBE-GGA level of DFT.

Properties
Total energy   -3.56 eV/atom
Density   2.14 g cm⁻³
Raw formation energy   -0.48 eV/atom

Unit cell a=10.4780 b=10.4780 c=11.9931 alpha=90.00 beta=90.00 gamma=90.00
Space group I4/mmm (No. 139)
Inequivalent atoms, fractional coordinates:
K 0.2417 0.2417 0.0000 [8 per cell]
P 0.0000 0.5000 0.2500 [4 per cell]
Se 0.0000 0.3239 0.3508 [16 per cell]

No. 12
Computed, not measured: crystalline IrAu at its relaxed geometry at the PBE-GGA level of DFT.

Properties
E_form   426 meV/atom
Total energy   -5.64 eV/atom
Density   20.00 g cm⁻³

Unit cell a=2.8287 b=2.8287 c=9.3243 alpha=90.00 beta=90.00 gamma=120.00
Space group P6_3/mmc (No. 194)
Inequivalent atoms, fractional coordinates:
Ir 0.3333 0.6667 0.2500 [2 per cell]
Au 0.0000 0.0000 0.0000 [2 per cell]